1.
YPd2Ru2: relaxed, PBE.

Cell lengths 7.2064, 7.2064, 7.2064 Å; angles 150.55, 150.55, 42.14 degrees
Fractional coordinates of all 5 atoms:
Y: 0.0000 0.0000 0.0000
Pd: 0.3993 0.3993 0.0000
Pd: 0.6007 0.6007 0.0000
Ru: 0.2500 0.7500 0.5000
Ru: 0.7500 0.2500 0.5000

Computed properties:
The crystal system is tetragonal. The calculation puts the final energy at -35.66 eV per cell. The space-group type is No. 139.


2.
Hf3ZrGa: relaxed, PBE.

Cell lengths 4.9864, 4.9864, 4.9864 Å; angles 90.00, 90.00, 90.00 degrees
Fractional coordinates of all 5 atoms:
Hf: 0.0000 0.0000 0.5000
Hf: 0.0000 0.5000 0.0000
Hf: 0.5000 0.0000 0.0000
Zr: 0.5000 0.5000 0.5000
Ga: 0.0000 0.0000 0.0000

Computed properties:
The crystal system is cubic. The calculation puts the final energy at -38.51 eV per cell. The space-group type is No. 221.


3.
Tb2AgRuC: relaxed, PBE.

Cell lengths 5.0356, 5.0356, 3.8935 Å; angles 90.00, 90.00, 90.00 degrees
Fractional coordinates of all 5 atoms:
Tb: 0.0000 0.5000 0.0000
Tb: 0.5000 0.0000 0.0000
Ag: 0.0000 0.0000 0.5000
Ru: 0.5000 0.5000 0.5000
C: 0.5000 0.5000 0.0000

Computed properties:
The crystal system is tetragonal. The calculation puts the final energy at -32.46 eV per cell. The space-group type is No. 123.


4.
CuMo2Ru: relaxed, PBE.

Cell lengths 9.1781, 9.1781, 9.1781 Å; angles 17.17, 17.17, 17.17 degrees
Fractional coordinates of all 4 atoms:
Cu: 0.0000 0.0000 0.0000
Mo: 0.2494 0.2494 0.2494
Mo: 0.7506 0.7506 0.7506
Ru: 0.5000 0.5000 0.5000

Computed properties:
The crystal system is trigonal. The calculation puts the final energy at -34.13 eV per cell. The space-group type is No. 166.


| no. | density of states at the Fermi level (states/eV/atom) | calculated volume (Å³ per cell) |
| --- | --- | --- |
| 1 | 1.17 | 90.26 |
| 2 | 1.88 | 123.98 |
| 3 | 0.50 | 98.73 |
| 4 | 0.89 | 58.78 |